A:
Entry from the Alexandria database: a relaxed structure of KCr3O8 (PBE+U).

```
data_KCr3O8
_cell_length_a 8.8582
_cell_length_b 5.5276
_cell_length_c 7.8380
_cell_angle_alpha 90.00
_cell_angle_beta 93.61
_cell_angle_gamma 90.00
_symmetry_space_group_name_H-M 'C 1 2/m 1'
_symmetry_Int_Tables_number 12
_symmetry_space_group_name_Hall '-C 2y'
loop_
_atom_site_label
_atom_site_type_symbol
_atom_site_fract_x
_atom_site_fract_y
_atom_site_fract_z
_atom_site_occupancy
K1 K 0.0000 0.0000 0.0000 1
Cr1 Cr 0.0000 0.0000 0.5000 1
Cr2 Cr 0.1332 0.5000 0.2949 1
O1 O 0.0273 0.2488 0.3194 1
O2 O 0.1889 0.5000 0.1016 1
O3 O 0.2208 0.0000 0.5617 1
```

B:
Entry from the Alexandria database: a relaxed structure of KCr3O8 (PBE+U).

```
data_KCr3O8
_cell_length_a 5.1428
_cell_length_b 5.1428
_cell_length_c 23.9820
_cell_angle_alpha 90.00
_cell_angle_beta 90.00
_cell_angle_gamma 120.00
_symmetry_space_group_name_H-M 'R -3'
_symmetry_Int_Tables_number 148
_symmetry_space_group_name_Hall '-R 3'
loop_
_atom_site_label
_atom_site_type_symbol
_atom_site_fract_x
_atom_site_fract_y
_atom_site_fract_z
_atom_site_occupancy
K1 K 0.0000 0.0000 0.0000 1
Cr1 Cr 0.0000 0.0000 0.2376 1
Cr2 Cr 0.0000 0.0000 0.5000 1
O1 O 0.0000 0.0000 0.3057 1
O2 O 0.0018 0.3834 0.8826 1
```

A is preferred energetically. Next in line: 0.024 eV/atom higher.